Na2HfMo2O6 | PBE with a Hubbard U | relaxed

Values from the calculation:
The calculation puts the total DFT energy (no corrections) at -157.119 eV/cell.

a b c (Å): 5.5964 8.9523 5.9554
angles (deg): 90.00 106.57 90.00
With the nearest neighbours (Å) after each atom.
Space group C2/m (No. 12)
Inequivalent atoms, fractional coordinates:
Na  0.0000  0.1818  0.0000 (multiplicity 4)  6 O 2.38-2.51
Hf  0.0000  0.0000  0.5000 (multiplicity 2)  6 O 2.11-2.12
Mo  0.0000  0.3613  0.5000 (multiplicity 4)  6 O 2.13-2.20
O  0.2228  0.1734  0.6892 (multiplicity 8)  1 Hf 2.11, 2 Mo 2.18-2.20
O  0.2268  0.0000  0.2702 (multiplicity 4)  1 Hf 2.12, 2 Mo 2.13